Model one:
Below is a relaxed Si3PRu crystal, with properties calculated at the PBE level.

a b c (Å): 4.3726 4.3726 4.3726
angles (deg): 90.00 90.00 90.00
Atoms (fractional coordinates):
Ru 0.5000 0.5000 0.5000
Si 0.0000 0.5000 0.0000
Si 0.0000 0.0000 0.5000
Si 0.5000 0.0000 0.0000
P 0.0000 0.0000 0.0000

Results
The value obtained for the mass density is 4.30 g cm⁻³. The crystal system is cubic. The total magnetic moment comes out at 0.073 μB per atom.

Model two:
Below is a relaxed Si3PRu crystal, with properties calculated at the PBE level.

a b c (Å): 4.5790 4.5790 4.5790
angles (deg): 90.00 90.00 90.00
Atoms (fractional coordinates):
Ru 0.0000 0.0000 0.0000
Si 0.0000 0.5000 0.0000
Si 0.0000 0.0000 0.5000
Si 0.5000 0.0000 0.0000
P 0.5000 0.5000 0.5000

Results
The value obtained for the mass density is 3.74 g cm⁻³. The crystal system is cubic. The total magnetic moment comes out at 0.000 μB per atom.

It comes down to model two, which is 0.540 eV/atom more stable than the next structure.

Model one:
Below is a relaxed SnPRu2 crystal, with properties calculated at the PBE level.

a b c (Å): 5.7772 5.7772 6.5043
angles (deg): 63.63 63.63 90.00
Atoms (fractional coordinates):
Ru 0.5671 0.1250 0.2500
Ru 0.1829 0.6250 0.2500
Ru 0.3750 0.4329 0.7500
Ru 0.8750 0.8171 0.7500
Sn 0.0000 0.0000 0.0000
Sn 0.7500 0.2500 0.5000
P 0.5000 0.5000 0.0000
P 0.2500 0.7500 0.5000

Results
The value obtained for the mass density is 6.92 g cm⁻³. The crystal system is tetragonal. The total magnetic moment comes out at 0.000 μB per atom.

Model two:
Below is a relaxed SnPRu2 crystal, with properties calculated at the PBE level.

a b c (Å): 4.4259 4.4259 4.4259
angles (deg): 60.00 60.00 60.00
Atoms (fractional coordinates):
Ru 0.2500 0.2500 0.2500
Ru 0.7500 0.7500 0.7500
Sn 0.5000 0.5000 0.5000
P 0.0000 0.0000 0.0000

Results
The value obtained for the mass density is 9.53 g cm⁻³. The crystal system is cubic. The total magnetic moment comes out at 0.000 μB per atom.

Model three:
Below is a relaxed SnPRu2 crystal, with properties calculated at the PBE level.

a b c (Å): 3.6202 3.6202 6.2816
angles (deg): 73.25 73.25 60.00
Atoms (fractional coordinates):
Sn 0.5006 0.5006 0.4982
P 0.6681 0.6681 0.9957
Ru 0.0556 0.0556 0.8332
Ru 0.2757 0.2757 0.1729

Results
The value obtained for the mass density is 8.69 g cm⁻³. The crystal system is trigonal. The total magnetic moment comes out at 0.000 μB per atom.

It comes down to model three, which is 0.302 eV/atom more stable than the next structure.

Model one:
Below is a relaxed TaP2Ru crystal, with properties calculated at the PBE level.

a b c (Å): 4.8327 4.8327 4.8327
angles (deg): 142.48 118.12 74.66
Atoms (fractional coordinates):
P 0.9851 0.9851 0.0000
P 0.5149 0.5149 0.0000
Ru 0.7500 0.2500 0.5000
Ta 0.2500 0.7500 0.5000

Results
The value obtained for the mass density is 9.62 g cm⁻³. The crystal system is orthorhombic. The total magnetic moment comes out at 0.000 μB per atom.

Model two:
Below is a relaxed TaP2Ru crystal, with properties calculated at the PBE level.

a b c (Å): 7.8894 7.8894 7.8894
angles (deg): 21.50 21.50 21.50
Atoms (fractional coordinates):
P 0.9939 0.9939 0.9939
P 0.5061 0.5061 0.5061
Ru 0.2500 0.2500 0.2500
Ta 0.7500 0.7500 0.7500

Results
The value obtained for the mass density is 9.89 g cm⁻³. The crystal system is trigonal. The total magnetic moment comes out at 0.000 μB per atom.

Model three:
Below is a relaxed TaP2Ru crystal, with properties calculated at the PBE level.

a b c (Å): 4.3747 4.3747 4.3747
angles (deg): 60.00 60.00 60.00
Atoms (fractional coordinates):
P 0.0000 0.0000 0.0000
P 0.7500 0.7500 0.7500
Ru 0.5000 0.5000 0.5000
Ta 0.2500 0.2500 0.2500

Results
The value obtained for the mass density is 9.65 g cm⁻³. The crystal system is cubic. The total magnetic moment comes out at 0.001 μB per atom.

It comes down to model two, which is 0.140 eV/atom more stable than the next structure.

Model one:
Below is a relaxed TaP2Ru crystal, with properties calculated at the PBE level.

a b c (Å): 2.8808 2.8808 8.0508
angles (deg): 90.00 90.00 89.98
Atoms (fractional coordinates):
P 0.0000 0.0000 0.9572
P 0.5000 0.5000 0.3247
Ru 0.0000 0.0000 0.4842
Ta 0.5000 0.5000 0.7340

Results
The value obtained for the mass density is 8.55 g cm⁻³. The crystal system is tetragonal. The total magnetic moment comes out at 0.000 μB per atom.

Model two:
Below is a relaxed TaP2Ru crystal, with properties calculated at the PBE level.

a b c (Å): 3.5771 3.1034 5.3288
angles (deg): 90.01 90.00 90.00
Atoms (fractional coordinates):
P 0.0000 0.2501 0.9743
P 0.0000 0.2499 0.5257
Ru 0.5000 0.2500 0.2500
Ta 0.5000 0.7500 0.7500

Results
The value obtained for the mass density is 9.66 g cm⁻³. The crystal system is orthorhombic. The total magnetic moment comes out at 0.000 μB per atom.

It comes down to model two, which is 0.158 eV/atom more stable than the next structure.

Model one:
Below is a relaxed TaP2Ru crystal, with properties calculated at the PBE level.

a b c (Å): 7.5860 7.5860 7.5860
angles (deg): 23.16 23.16 23.16
Atoms (fractional coordinates):
P 0.9950 0.9950 0.9950
P 0.2506 0.2506 0.2506
Ru 0.5109 0.5109 0.5109
Ta 0.7435 0.7435 0.7435

Results
The value obtained for the mass density is 9.63 g cm⁻³. The crystal system is trigonal. The total magnetic moment comes out at 0.000 μB per atom.

Model two:
Below is a relaxed TaP2Ru crystal, with properties calculated at the PBE level.

a b c (Å): 4.5926 4.5926 4.3720
angles (deg): 76.04 76.04 39.66
Atoms (fractional coordinates):
P 0.9988 0.9988 0.0449
P 0.7546 0.7546 0.6932
Ru 0.4880 0.4880 0.5776
Ta 0.2587 0.2587 0.1844

Results
The value obtained for the mass density is 10.04 g cm⁻³. The crystal system is monoclinic. The total magnetic moment comes out at 0.000 μB per atom.

It comes down to model two, which is 0.258 eV/atom more stable than the next structure.

Model one:
Below is a relaxed TaP2Ru crystal, with properties calculated at the PBE level.

a b c (Å): 5.3510 5.3510 6.6804
angles (deg): 66.39 66.39 90.00
Atoms (fractional coordinates):
Ru 0.5000 0.5000 0.0000
Ru 0.2500 0.7500 0.5000
P 0.5992 0.1250 0.2500
P 0.1508 0.6250 0.2500
P 0.3750 0.4008 0.7500
P 0.8750 0.8492 0.7500
Ta 0.0000 0.0000 0.0000
Ta 0.7500 0.2500 0.5000

Results
The value obtained for the mass density is 7.25 g cm⁻³. The crystal system is tetragonal. The total magnetic moment comes out at 0.000 μB per atom.

Model two:
Below is a relaxed TaP2Ru crystal, with properties calculated at the PBE level.

a b c (Å): 4.2815 4.2815 4.2815
angles (deg): 60.00 60.00 60.00
Atoms (fractional coordinates):
Ru 0.0000 0.0000 0.0000
P 0.2500 0.2500 0.2500
P 0.7500 0.7500 0.7500
Ta 0.5000 0.5000 0.5000

Results
The value obtained for the mass density is 10.29 g cm⁻³. The crystal system is cubic. The total magnetic moment comes out at 0.000 μB per atom.

It comes down to model two, which is 0.254 eV/atom more stable than the next structure.